1.
Below is a geometry-optimized BaLiTlRh structure, with properties calculated at the PBE level.

Structure (POSCAR):
```
BaLiTlRh
1.0
8.232 0.000 0.000
0.000 4.766 0.000
-2.725 0.000 5.469
Ba Li Tl Rh
2 2 2 2
Cartesian
0.000 0.000 0.000
4.116 2.383 0.000
1.373 2.383 2.379
5.489 0.000 2.379
-1.371 2.383 2.926
2.746 0.000 2.926
-0.002 0.000 3.222
4.115 2.383 3.222
```

Results
The value obtained for the density is 6.99 Mg/m³. The total energy is -29.07 eV per cell. The energy relative to the elements comes out at -0.245 eV/atom. As for the crystal system: monoclinic.

---

2.
Below is a geometry-optimized SrAc2Tb structure, with properties calculated at the PBE level.

Structure (POSCAR):
```
SrAc2Tb
1.0
3.780 0.000 0.000
0.000 3.853 0.000
0.000 0.000 12.180
Sr Ac Tb
1 2 1
Cartesian
0.000 0.000 0.000
0.000 1.926 3.480
0.000 1.926 8.700
1.890 0.000 6.090
```

Results
The value obtained for the density is 6.56 Mg/m³. The total energy is -13.81 eV per cell. The energy above the most stable polymorph in this dataset is 0.117 eV per atom. The energy relative to the elements comes out at 0.180 eV/atom. As for the crystal system: orthorhombic.

---

3.
Below is a geometry-optimized KBiO2 structure, with properties calculated at the PBE level.

Structure (POSCAR):
```
KBiO2
1.0
5.708 0.000 0.000
0.000 5.631 0.000
-4.857 0.000 10.032
K Bi O
4 4 8
Cartesian
0.120 1.361 1.239
-2.308 4.270 6.255
3.159 1.361 3.777
0.731 4.270 8.793
-1.942 1.596 8.809
0.486 4.034 3.793
0.365 1.596 6.238
2.793 4.034 1.223
-1.753 1.549 6.443
0.675 4.081 1.427
0.226 1.924 3.886
-2.202 3.707 8.902
3.053 1.924 1.130
0.625 3.707 6.146
0.176 1.549 8.605
2.604 4.081 3.589
```

Results
The value obtained for the density is 5.77 Mg/m³. The total energy is -81.59 eV per cell. As for the crystal system: monoclinic. The value obtained for the energy relative to the elements, uncorrected is -1.38 eV/atom.